# KBa2InPt (PBE, relaxed)
# Raw total energy   -15.55 eV/cell
# Theoretical density   4871 kg/m³
# Total moment   0.781 μB per formula unit
# Formation energy from the elements   -0.3662 eV per atom
data_KBa2InPt
_chemical_formula_sum 'K1 Ba2 In1 Pt1'
_cell_length_a 6.297
_cell_length_b 6.297
_cell_length_c 5.362
_cell_angle_alpha 90.00
_cell_angle_beta 90.00
_cell_angle_gamma 90.00
_symmetry_space_group_name_H-M 'P 4/m m m'
_symmetry_Int_Tables_number 123
_symmetry_space_group_name_Hall '-P 4 2'
loop_
_atom_site_label
_atom_site_type_symbol
_atom_site_fract_x
_atom_site_fract_y
_atom_site_fract_z
K1 K 0.000 0.000 0.000
Ba1 Ba 0.000 0.500 0.500
In1 In 0.500 0.500 0.000
Pt1 Pt 0.500 0.500 0.500